DFT (GGA-PBEsol) results for Mg30NbNiO32 after structural relaxation.

Cell and atoms, written as POSCAR:
```
Mg30NbNiO32
1.0
8.4685 0.0000 0.0000
0.0000 8.4685 0.0000
0.0000 0.0000 8.4750
Mg Nb Ni O
30 1 1 32
Cartesian
0.0000 0.0000 0.0000
0.0000 2.0965 2.1313
0.0000 2.0965 6.3437
0.0000 4.2343 0.0000
0.0000 4.2343 4.2375
0.0000 6.3721 2.1313
0.0000 6.3721 6.3437
2.0654 2.0654 4.2375
2.0654 6.4031 4.2375
2.0893 4.2343 2.0946
2.0893 4.2343 6.3804
2.0965 0.0000 2.1313
2.0965 0.0000 6.3437
2.1083 2.1083 0.0000
2.1083 6.3603 0.0000
4.2343 0.0000 0.0000
4.2343 0.0000 4.2375
4.2343 2.0893 2.0946
4.2343 2.0893 6.3804
4.2343 4.2343 0.0000
4.2343 6.3792 2.0946
4.2343 6.3792 6.3804
6.3603 2.1083 0.0000
6.3603 6.3603 0.0000
6.3721 0.0000 2.1313
6.3721 0.0000 6.3437
6.3792 4.2343 2.0946
6.3792 4.2343 6.3804
6.4031 2.0654 4.2375
6.4031 6.4031 4.2375
4.2343 4.2343 4.2375
0.0000 0.0000 4.2375
0.0000 0.0000 2.0589
0.0000 0.0000 6.4161
0.0000 2.1236 0.0000
0.0000 2.1812 4.2375
0.0000 4.2343 2.1073
0.0000 4.2343 6.3677
0.0000 6.2873 4.2375
0.0000 6.3450 0.0000
2.0705 4.2343 4.2375
2.1202 2.1202 2.1254
2.1202 2.1202 6.3496
2.1130 4.2343 0.0000
2.1202 6.3483 2.1254
2.1202 6.3483 6.3496
2.1236 0.0000 0.0000
2.1812 0.0000 4.2375
4.2343 0.0000 2.1073
4.2343 0.0000 6.3677
4.2343 2.0705 4.2375
4.2343 2.1130 0.0000
4.2343 4.2343 2.0415
4.2343 4.2343 6.4335
4.2343 6.3556 0.0000
4.2343 6.3981 4.2375
6.2873 0.0000 4.2375
6.3450 0.0000 0.0000
6.3483 2.1202 2.1254
6.3483 2.1202 6.3496
6.3556 4.2343 0.0000
6.3483 6.3483 2.1254
6.3483 6.3483 6.3496
6.3981 4.2343 4.2375
```

D(E_F) ... 15.4 states/eV per cell
Formation energy (no corrections) ... -2608 meV/atom
Space group ... No. 123
Magnetization ... 3.76 μB per formula unit